Record 1
{"formula": "Dy6CdHg2", "functional": "GGA-PBE", "state": "optimized geometry", "crystal_system": "orthorhombic", "dos_ef_per_ev_cell": 10.32, "delta_e_f_ev_per_fu": -0.4, "lattice_angstrom": [[-2.5493, 3.6148, 7.6659], [2.5493, -3.6148, 7.6659], [2.5493, 3.6148, -7.6659]], "species": ["Dy", "Dy", "Dy", "Dy", "Dy", "Dy", "Cd", "Hg", "Hg"], "frac_coords": [[0.0815, 0.3326, 0.7489], [0.2468, 0.0000, 0.2468], [0.4163, 0.6674, 0.7489], [0.5837, 0.3326, 0.2511], [0.7532, 0.0000, 0.7532], [0.9185, 0.6674, 0.2511], [0.5000, 0.5000, 0.0000], [0.1671, 0.1671, 0.0000], [0.8329, 0.8329, 0.0000]]}

Record 2
{"formula": "Ca2Ga2Ag", "functional": "GGA-PBE", "state": "optimized geometry", "crystal_system": "tetragonal", "dos_ef_per_ev_cell": 3.55, "delta_e_f_ev_per_fu": -1.9, "lattice_angstrom": [[7.2629, 0.0000, 0.0000], [0.0000, 7.2629, 0.0000], [0.0000, 0.0000, 4.5441]], "species": ["Ca", "Ca", "Ca", "Ca", "Ga", "Ga", "Ga", "Ga", "Ag", "Ag"], "frac_coords": [[0.1734, 0.3266, 0.0000], [0.3266, 0.8266, 0.0000], [0.6734, 0.1734, 0.0000], [0.8266, 0.6734, 0.0000], [0.1271, 0.6271, 0.5000], [0.3729, 0.1271, 0.5000], [0.6271, 0.8729, 0.5000], [0.8729, 0.3729, 0.5000], [0.0000, 0.0000, 0.5000], [0.5000, 0.5000, 0.5000]]}

Record 3
{"formula": "KZn2Ru2", "functional": "GGA-PBE", "state": "optimized geometry", "crystal_system": "tetragonal", "dos_ef_per_ev_cell": 4.67, "delta_e_f_ev_per_fu": 2.5, "lattice_angstrom": [[-1.9063, 1.9063, 6.4670], [1.9063, -1.9063, 6.4670], [1.9063, 1.9063, -6.4670]], "species": ["K", "Zn", "Zn", "Ru", "Ru"], "frac_coords": [[0.0000, 0.0000, 0.0000], [0.3914, 0.3914, 0.0000], [0.6086, 0.6086, 0.0000], [0.2500, 0.7500, 0.5000], [0.7500, 0.2500, 0.5000]]}

Record 4
{"formula": "MgZrSi2", "functional": "GGA-PBE", "state": "optimized geometry", "raw_formation_energy_kj_per_mol_atoms": -35.2, "crystal_system": "orthorhombic", "dos_ef_per_ev_cell": 1.45, "lattice_angstrom": [[-1.8779, 1.9922, 4.5998], [1.8779, -1.9922, 4.5998], [1.8779, 1.9922, -4.5998]], "species": ["Mg", "Zr", "Si", "Si"], "frac_coords": [[0.0000, 0.0000, 0.0000], [0.2583, 0.7583, 0.5000], [0.5175, 0.5175, 0.0000], [0.7357, 0.2357, 0.5000]]}